#w
The following is a PBE calculation of a relaxed Pu2Pd6Au crystal, from Alexandria.

Cell: 6.3273 5.6586 5.6586 Å, 58.85 82.60 82.60°
Sites, in units of the cell vectors:
1 Pu 0.8350 0.6642 0.6642
2 Pu 0.1650 0.3358 0.3358
3 Pd 0.3098 0.3447 0.8240
4 Pd 0.3705 0.8173 0.8173
5 Pd 0.3098 0.8240 0.3447
6 Pd 0.6902 0.6553 0.1760
7 Pd 0.6295 0.1827 0.1827
8 Pd 0.6902 0.1760 0.6553
9 Au 0.0000 0.0000 0.0000

## Properties
density: 12.8 Mg/m³
symmetry: C2/m
V: 171 Å³ per cell


#x
The following is a PBE calculation of a relaxed Pu2Pd6Au crystal, from Alexandria.

Cell: 2.9256 7.2380 9.7759 Å, 127.98 90.00 90.00°
Sites, in units of the cell vectors:
1 Pu 0.0000 0.6182 0.2743
2 Pu 0.0000 0.2842 0.6385
3 Pd 0.5000 0.4356 0.4528
4 Pd 0.5000 0.6335 0.9768
5 Pd 0.5000 0.9054 0.6140
6 Pd 0.0000 0.7517 0.7758
7 Pd 0.0000 0.2509 0.9142
8 Pd 0.0000 0.0085 0.2719
9 Au 0.5000 0.1120 0.0817

## Properties
density: 13.5 Mg/m³
symmetry: Pm
V: 163 Å³ per cell


#w is favored, and the nearest alternative lies 94 meV/atom above it.


#w
The following is a PBE calculation of a relaxed PuPd2Au2 crystal, from Alexandria.

Cell: 4.8371 2.9729 7.1440 Å, 78.16 70.23 89.99°
Sites, in units of the cell vectors:
1 Pu 0.0000 0.0000 0.0000
2 Pd 0.7876 0.2840 0.4248
3 Pd 0.2124 0.7159 0.5752
4 Au 0.6053 0.6036 0.7891
5 Au 0.3947 0.3964 0.2109

## Properties
density: 15.0 Mg/m³
symmetry: C2/m
V: 94 Å³ per cell


#x
The following is a PBE calculation of a relaxed PuPd2Au2 crystal, from Alexandria.

Cell: 5.7611 5.7611 8.0237 Å, 99.56 99.56 122.39°
Sites, in units of the cell vectors:
1 Pu 0.8750 0.6250 0.7500
2 Pu 0.1250 0.3750 0.2500
3 Pd 0.1390 0.3610 0.7500
4 Pd 0.3890 0.1110 0.2500
5 Pd 0.6110 0.8890 0.7500
6 Pd 0.8610 0.6390 0.2500
7 Au 0.2793 0.0295 0.5604
8 Au 0.5295 0.7793 0.0604
9 Au 0.7207 0.9705 0.4396
10 Au 0.4705 0.2207 0.9396

## Properties
density: 13.4 Mg/m³
symmetry: C2/c
V: 211 Å³ per cell


#w is favored, and the nearest alternative lies 70 meV/atom above it.